! PBE YTa4Hg, relaxed; values from VASP
! Symmetry: R-3m
! Theoretical density in kg/m³: 13068
! DFT formation energy in eV/atom: 0.71
&SYSTEM
  ibrav = 0, nat = 6, ntyp = 3
/
ATOMIC_SPECIES
Ta 180.95 Ta.upf
Hg 200.59 Hg.upf
Y 88.91 Y.upf
ATOMIC_POSITIONS angstrom
Ta 6.139 -4.605 12.223
Ta 4.989 -3.743 9.934
Hg 3.857 -2.893 7.679
Ta 1.575 -1.181 3.136
Y 0.000 0.000 0.000
Ta 2.724 -2.044 5.425
CELL_PARAMETERS angstrom
1.904 -4.628 4.438
5.073 -0.818 4.282
0.737 -0.340 6.639

***

! PBE BeNiPdPb, relaxed; values from VASP
! Symmetry: F-43m
! VASP energy in eV per atom: -4.409
! Theoretical density in kg/m³: 10759
&SYSTEM
  ibrav = 0, nat = 4, ntyp = 4
/
ATOMIC_SPECIES
Be 9.01 Be.upf
Pd 106.42 Pd.upf
Pb 207.20 Pb.upf
Ni 58.69 Ni.upf
ATOMIC_POSITIONS angstrom
Be 1.544 1.544 1.544
Pd 3.087 3.087 3.087
Pb 0.000 0.000 0.000
Ni 4.631 4.631 4.631
CELL_PARAMETERS angstrom
0.000 3.087 3.087
3.087 0.000 3.087
3.087 3.087 0.000

***

! PBE SiHg2Te4, relaxed; values from VASP
! Symmetry: I-42m
! VASP energy in eV per atom: -2.771
! Theoretical density in kg/m³: 6259
&SYSTEM
  ibrav = 0, nat = 7, ntyp = 3
/
ATOMIC_SPECIES
Si 28.09 Si.upf
Te 127.60 Te.upf
Hg 200.59 Hg.upf
ATOMIC_POSITIONS angstrom
Si 0.000 0.000 0.000
Te 1.683 1.683 6.978
Te -1.683 1.683 4.613
Te 1.596 1.596 1.182
Te 1.683 -1.683 4.613
Hg 3.279 0.000 2.898
Hg 0.000 3.279 2.898
CELL_PARAMETERS angstrom
-3.279 3.279 5.795
3.279 -3.279 5.795
3.279 3.279 -5.795

***

! PBE Tb3Sn2Pb5, relaxed; values from VASP
! Symmetry: Cmmm
! VASP energy in eV per atom: -4.454
! Theoretical density in kg/m³: 10361
&SYSTEM
  ibrav = 0, nat = 10, ntyp = 3
/
ATOMIC_SPECIES
Pb 207.20 Pb.upf
Sn 118.71 Sn.upf
Tb 158.93 Tb.upf
ATOMIC_POSITIONS angstrom
Pb -4.166 10.469 0.607
Sn -3.319 7.274 -1.291
Pb -1.048 -10.774 3.185
Tb -3.358 4.967 1.275
Pb -2.607 -0.152 1.896
Tb -1.855 -5.272 2.518
Pb -1.812 -2.994 -0.045
Pb -2.583 2.261 -0.682
Tb 0.000 0.000 0.000
Sn -1.076 -8.008 0.564
CELL_PARAMETERS angstrom
-4.139 12.866 -1.969
-0.255 -13.600 1.242
-0.819 0.428 4.519